1.
{"formula": "CdRhN2", "functional": "PBE", "state": "relaxed", "lattice_angstrom": [[1.808, 0.000, 6.319], [-0.904, 1.566, 6.319], [-0.904, -1.566, 6.319]], "species": ["Cd", "N", "N", "Rh"], "frac_coords": [[0.000, 0.000, 0.000], [0.887, 0.887, 0.887], [0.113, 0.113, 0.113], [0.500, 0.500, 0.500]], "space_group": "R-3m"}

---

2.
{"formula": "CdRh3N", "functional": "PBE", "state": "relaxed", "lattice_angstrom": [[3.180, -6.640, 0.000], [3.180, 6.640, 0.000], [0.000, 0.000, 4.954]], "species": ["Cd", "Cd", "Rh", "Rh", "Rh", "Rh", "Rh", "Rh", "N", "N"], "frac_coords": [[0.187, 0.813, 0.250], [0.813, 0.187, 0.750], [0.090, 0.367, 0.250], [0.633, 0.910, 0.250], [0.367, 0.090, 0.750], [0.000, 0.000, 0.000], [0.000, 0.000, 0.500], [0.910, 0.633, 0.750], [0.387, 0.613, 0.250], [0.613, 0.387, 0.750]], "space_group": "Cmcm"}

---

3.
{"formula": "CdRh3N", "functional": "PBE", "state": "relaxed", "lattice_angstrom": [[-0.105, -2.354, 5.139], [-3.349, -4.869, -0.458], [4.053, -2.915, 1.350]], "species": ["Rh", "Rh", "Rh", "Rh", "Rh", "Rh", "Cd", "Cd", "N", "N"], "frac_coords": [[0.481, 0.575, 0.645], [0.490, 0.039, 0.706], [0.501, 0.253, 0.201], [0.981, 0.392, 0.120], [0.009, 0.900, 0.106], [0.510, 0.718, 0.131], [0.995, 0.646, 0.595], [0.996, 0.146, 0.608], [0.376, 0.363, 0.919], [0.615, 0.930, 0.300]], "space_group": "C2"}

---

Number 1: size of the total moment 0.00 μB per atom, formation energy from raw total energies 2.83 eV per formula unit, VASP energy -5.522 eV/atom. Number 2: size of the total moment 0.00 μB per atom, formation energy from raw total energies 3.22 eV per formula unit, VASP energy -5.616 eV/atom. Number 3: size of the total moment 0.00 μB per atom, formation energy from raw total energies 0.52 eV per formula unit, VASP energy -6.156 eV/atom.